The following is a GGA-PBE calculation of GaBi3Os after structural relaxation, from Alexandria via LeMat-Bulk.

**ρ**: 9.52 g/cm³
**Total energy**: -4.42 eV/atom
**M_tot**: 0.00 μB/cell
**N(E_F)**: 4.0 states/eV/cell

abc: 5.369 5.369 5.369
angles: 90.00 90.00 90.00
Space group Pm-3m (No. 221)
One atom of each set of equivalent atoms:
Ga1 0.000 0.000 0.000 (multiplicity 1)
Bi1 0.000 0.500 0.500 (multiplicity 3)
Os1 0.500 0.500 0.500 (multiplicity 1)